Record 1
Entry from Alexandria: a geometry-optimized AcCeCdHg structure (PBE-GGA).

Cell lengths 5.5946, 5.5946, 5.5946 Å; angles 60.00, 60.00, 60.00 degrees
Last column: nearest neighbours and their distance in Å.
Sites, in units of the cell vectors:
Ac 0.5000 0.5000 0.5000  4 Hg 3.43, 4 Cd 3.43
Hg 0.2500 0.2500 0.2500  4 Ce 3.43, 4 Ac 3.43
Ce 0.0000 0.0000 0.0000  4 Hg 3.43, 4 Cd 3.43
Cd 0.7500 0.7500 0.7500  4 Ac 3.43, 4 Ce 3.43

## Properties
Space-group type: F-43m
ΔH_f (0 K) (eV/atom): -0.262
Size of the total moment (μB per atom): 0.47
Total energy (eV per atom): -3.08

***

Record 2
Entry from Alexandria: a geometry-optimized AcCe2Cd2In2 structure (PBE-GGA).

Cell lengths 4.8582, 4.8582, 10.1371 Å; angles 76.14, 76.14, 60.00 degrees
Last column: nearest neighbours and their distance in Å.
Sites, in units of the cell vectors:
Ac 0.0000 0.0000 0.0000  6 In 3.50, 6 Cd 3.85
Ce 0.1462 0.1462 0.5614  3 Ce 3.05, 3 Cd 3.25, 1 In 3.38
Ce 0.8538 0.8538 0.4386  3 Ce 3.05, 3 Cd 3.25, 1 In 3.38
Cd 0.5764 0.5764 0.2708  3 In 2.86
Cd 0.4236 0.4236 0.7292  3 In 2.86
In 0.7382 0.7382 0.7853  3 Cd 2.86
In 0.2618 0.2618 0.2147  3 Cd 2.86

## Properties
Space-group type: R-3m
ΔH_f (0 K) (eV/atom): -0.250
Size of the total moment (μB per atom): 0.31
Total energy (eV per atom): -3.58

***

Record 3
Entry from Alexandria: a geometry-optimized AcCeCdIn structure (PBE-GGA).

Cell lengths 5.6349, 5.6349, 5.6349 Å; angles 60.00, 60.00, 60.00 degrees
Last column: nearest neighbours and their distance in Å.
Sites, in units of the cell vectors:
Ac 0.0000 0.0000 0.0000  4 In 3.45, 4 Cd 3.45
Cd 0.2500 0.2500 0.2500  4 Ac 3.45, 4 Ce 3.45
Ce 0.5000 0.5000 0.5000  4 Cd 3.45, 4 In 3.45
In 0.7500 0.7500 0.7500  4 Ce 3.45, 4 Ac 3.45

## Properties
Space-group type: F-43m
ΔH_f (0 K) (eV/atom): -0.262
Size of the total moment (μB per atom): 0.41
Total energy (eV per atom): -3.69

***

Record 4
Entry from Alexandria: a geometry-optimized AcLaCeCd structure (PBE-GGA).

Cell lengths 5.7307, 5.7307, 5.7307 Å; angles 60.00, 60.00, 60.00 degrees
Last column: nearest neighbours and their distance in Å.
Sites, in units of the cell vectors:
Ac 0.2500 0.2500 0.2500  4 La 3.51, 4 Ce 3.51
Cd 0.7500 0.7500 0.7500  4 La 3.51, 4 Ce 3.51
Ce 0.5000 0.5000 0.5000  4 Ac 3.51, 4 Cd 3.51
La 0.0000 0.0000 0.0000  4 Cd 3.51, 4 Ac 3.51

## Properties
Space-group type: F-43m
ΔH_f (0 K) (eV/atom): 0.087
Size of the total moment (μB per atom): 0.35
Total energy (eV per atom): -3.88

***

Record 5
Entry from Alexandria: a geometry-optimized LiAcCeCd structure (PBE-GGA).

Cell lengths 5.4080, 5.4080, 5.4080 Å; angles 60.00, 60.00, 60.00 degrees
Last column: nearest neighbours and their distance in Å.
Sites, in units of the cell vectors:
Ac 0.5000 0.5000 0.5000  4 Li 3.31, 4 Ce 3.31
Li 0.7500 0.7500 0.7500  4 Ac 3.31, 4 Cd 3.31
Ce 0.2500 0.2500 0.2500  4 Cd 3.31, 4 Ac 3.31
Cd 0.0000 0.0000 0.0000  4 Ce 3.31, 4 Li 3.31

## Properties
Space-group type: F-43m
ΔH_f (0 K) (eV/atom): 0.105
Size of the total moment (μB per atom): 0.49
Total energy (eV per atom): -3.11

***

Record 6
Entry from Alexandria: a geometry-optimized AcCeMgCd structure (PBE-GGA).

Cell lengths 5.6219, 5.6219, 5.6219 Å; angles 60.00, 60.00, 60.00 degrees
Last column: nearest neighbours and their distance in Å.
Sites, in units of the cell vectors:
Ac 0.0000 0.0000 0.0000  4 Mg 3.44, 4 Cd 3.44
Mg 0.2500 0.2500 0.2500  4 Ac 3.44, 4 Ce 3.44
Ce 0.5000 0.5000 0.5000  4 Cd 3.44, 4 Mg 3.44
Cd 0.7500 0.7500 0.7500  4 Ce 3.44, 4 Ac 3.44

## Properties
Space-group type: F-43m
ΔH_f (0 K) (eV/atom): -0.059
Size of the total moment (μB per atom): 0.39
Total energy (eV per atom): -3.20

***

Record 7
Entry from Alexandria: a geometry-optimized AcCeNdCd structure (PBE-GGA).

Cell lengths 5.6865, 5.6865, 5.6865 Å; angles 60.00, 60.00, 60.00 degrees
Last column: nearest neighbours and their distance in Å.
Sites, in units of the cell vectors:
Ac 0.5000 0.5000 0.5000  4 Nd 3.48, 4 Ce 3.48
Nd 0.7500 0.7500 0.7500  4 Cd 3.48, 4 Ac 3.48
Ce 0.2500 0.2500 0.2500  4 Cd 3.48, 4 Ac 3.48
Cd 0.0000 0.0000 0.0000  4 Nd 3.48, 4 Ce 3.48

## Properties
Space-group type: F-43m
ΔH_f (0 K) (eV/atom): 0.095
Size of the total moment (μB per atom): 0.36
Total energy (eV per atom): -3.84

***

Record 8
Entry from Alexandria: a geometry-optimized Ac2CeCdO6 structure (PBE-GGA).

Cell lengths 6.0396, 6.2486, 8.8101 Å; angles 90.00, 88.84, 90.00 degrees
Last column: nearest neighbours and their distance in Å.
Sites, in units of the cell vectors:
Ac 0.0194 0.9460 0.2539  5 O 2.47-2.74
Ac 0.5194 0.5540 0.7539  5 O 2.47-2.74
Ac 0.9806 0.0540 0.7461  5 O 2.47-2.74
Ac 0.4806 0.4460 0.2461  5 O 2.47-2.74
Ce 0.5000 0.0000 0.5000  6 O 2.23-2.27
Ce 0.0000 0.5000 0.0000  6 O 2.23-2.27
Cd 0.5000 0.0000 0.0000  6 O 2.34-2.46
Cd 0.0000 0.5000 0.5000  6 O 2.34-2.46
O 0.2969 0.6920 0.0606  1 Ce 2.23, 1 Cd 2.34
O 0.7969 0.8080 0.5606  1 Ce 2.23, 1 Cd 2.34
O 0.7031 0.3080 0.9394  1 Ce 2.23, 1 Cd 2.34
O 0.2031 0.1920 0.4394  1 Ce 2.23, 1 Cd 2.34
O 0.3034 0.7097 0.4249  1 Ce 2.27, 1 Cd 2.34, 1 Ac 2.50
O 0.8034 0.7903 0.9249  1 Ce 2.27, 1 Cd 2.34, 1 Ac 2.50
O 0.6966 0.2903 0.5751  1 Ce 2.27, 1 Cd 2.34, 1 Ac 2.50
O 0.1966 0.2097 0.0751  1 Ce 2.27, 1 Cd 2.34, 1 Ac 2.50
O 0.8727 0.5589 0.2401  1 Ce 2.27, 1 Cd 2.46, 1 Ac 2.47
O 0.3727 0.9411 0.7401  1 Ce 2.27, 1 Cd 2.46, 1 Ac 2.47
O 0.1273 0.4411 0.7599  1 Ce 2.27, 1 Cd 2.46, 1 Ac 2.47
O 0.6273 0.0589 0.2599  1 Ce 2.27, 1 Cd 2.46, 1 Ac 2.47

## Properties
Formation energy without anion corrections (meV per atom): -2880
Space-group type: P2_1/c
Size of the total moment (μB per atom): 0.00
Total energy (eV per atom): -7.36

***

Record 9
Entry from Alexandria: a geometry-optimized AcCe2Cd2Pb2 structure (PBE-GGA).

Cell lengths 4.9567, 4.9567, 10.2532 Å; angles 76.01, 76.01, 60.00 degrees
Last column: nearest neighbours and their distance in Å.
Sites, in units of the cell vectors:
Ac 0.0000 0.0000 0.0000  6 Pb 3.47
Ce 0.1489 0.1489 0.5534  3 Ce 3.05, 3 Cd 3.22
Ce 0.8511 0.8511 0.4466  3 Ce 3.05, 3 Cd 3.22
Cd 0.5678 0.5678 0.2965  3 Pb 3.02, 3 Ce 3.22
Cd 0.4322 0.4322 0.7035  3 Pb 3.02, 3 Ce 3.22
Pb 0.7331 0.7331 0.8007  3 Cd 3.02
Pb 0.2669 0.2669 0.1993  3 Cd 3.02

## Properties
Space-group type: R-3m
ΔH_f (0 K) (eV/atom): -0.199
Size of the total moment (μB per atom): 0.47
Total energy (eV per atom): -3.80

***

Record 10
Entry from Alexandria: a geometry-optimized AcCeCdPd structure (PBE-GGA).

Cell lengths 5.4173, 5.4173, 5.4173 Å; angles 60.00, 60.00, 60.00 degrees
Last column: nearest neighbours and their distance in Å.
Sites, in units of the cell vectors:
Ac 0.0000 0.0000 0.0000  4 Pd 3.32, 4 Cd 3.32
Pd 0.2500 0.2500 0.2500  4 Ac 3.32, 4 Ce 3.32
Ce 0.5000 0.5000 0.5000  4 Cd 3.32, 4 Pd 3.32
Cd 0.7500 0.7500 0.7500  4 Ce 3.32, 4 Ac 3.32

## Properties
Space-group type: F-43m
ΔH_f (0 K) (eV/atom): -0.339
Size of the total moment (μB per atom): 0.23
Total energy (eV per atom): -4.38

***

Record 11
Entry from Alexandria: a geometry-optimized AcCePmCd structure (PBE-GGA).

Cell lengths 5.6722, 5.6722, 5.6722 Å; angles 60.00, 60.00, 60.00 degrees
Last column: nearest neighbours and their distance in Å.
Sites, in units of the cell vectors:
Ac 0.2500 0.2500 0.2500  4 Ce 3.47, 4 Pm 3.47
Cd 0.7500 0.7500 0.7500  4 Ce 3.47, 4 Pm 3.47
Ce 0.0000 0.0000 0.0000  4 Ac 3.47, 4 Cd 3.47
Pm 0.5000 0.5000 0.5000  4 Cd 3.47, 4 Ac 3.47

## Properties
Space-group type: F-43m
ΔH_f (0 K) (eV/atom): 0.098
Size of the total moment (μB per atom): 0.37
Total energy (eV per atom): -3.83

***

Record 12
Entry from Alexandria: a geometry-optimized AcCeCdPt structure (PBE-GGA).

Cell lengths 5.3840, 5.3840, 5.3840 Å; angles 60.00, 60.00, 60.00 degrees
Last column: nearest neighbours and their distance in Å.
Sites, in units of the cell vectors:
Ac 0.7500 0.7500 0.7500  4 Pt 3.30, 4 Cd 3.30
Ce 0.2500 0.2500 0.2500  4 Cd 3.30, 4 Pt 3.30
Pt 0.5000 0.5000 0.5000  4 Ac 3.30, 4 Ce 3.30
Cd 0.0000 0.0000 0.0000  4 Ce 3.30, 4 Ac 3.30

## Properties
Space-group type: F-43m
ΔH_f (0 K) (eV/atom): -0.498
Size of the total moment (μB per atom): 0.23
Total energy (eV per atom): -4.75